Entry 1:
Below is a relaxed Li2ErCd6 crystal, with properties calculated at the GGA-PBE level.

The calculation puts the formation energy at -195 meV per atom.

The structure belongs to space group P6/mmm (No. 191); the cell edges are 8.5556, 8.5556 and 3.2172 Å and the angles 90.00°, 90.00° and 120.00°. The distinct sites, in fractional coordinates, are Li at (0.3333, 0.6667, 0.0000), Er at (0.0000, 0.0000, 0.0000) and Cd at (0.0000, 0.3375, 0.5000).



Entry 2:
Below is a relaxed TlRe2Sb crystal, with properties calculated at the GGA-PBE level.

As for the offset from the most stable computed form: 592 meV/atom. The value obtained for the energy relative to the elements, uncorrected is 3.89 eV per formula unit.

The structure belongs to space group P4/mmm (No. 123); the cell edges are 3.277, 3.277 and 6.774 Å and the angles 90.00°, 90.00° and 90.00°. The distinct sites, in fractional coordinates, are Tl at (0.000, 0.000, 0.000), Re at (0.500, 0.500, 0.275) and Sb at (0.000, 0.000, 0.500).



Entry 3:
Below is a relaxed SrCaEuSbO6 crystal, with properties calculated at the GGA-PBE level.

As for the offset from the most stable computed form: 0 meV/atom. The value obtained for the energy relative to the elements, uncorrected is -24.07 eV per formula unit.

The structure belongs to space group P-4n2 (No. 118); the cell edges are 5.823, 5.823 and 8.437 Å and the angles 90.00°, 90.00° and 90.00°. The distinct sites, in fractional coordinates, are Sr at (0.000, 0.500, 0.250), Ca at (0.000, 0.000, 0.000), Eu at (0.000, 0.500, 0.750), Sb at (0.000, 0.000, 0.500), O at (0.000, 0.000, 0.264) and O at (0.155, 0.308, 0.512).



Entry 4:
Below is a relaxed Pm3SmHo3 crystal, with properties calculated at the GGA-PBE level.

The calculation puts the formation energy at 233 meV per atom. As for the offset from the most stable computed form: 31 meV/atom.

The structure belongs to space group R3m (No. 160, hexagonal axes); the cell edges are 9.9571, 9.9571 and 8.2247 Å and the angles 90.00°, 90.00° and 120.00°. The distinct sites, in fractional coordinates, are Pm at (0.2133, 0.4266, 0.0000), Sm at (0.0000, 0.0000, 0.6260) and Ho at (0.1992, 0.3984, 0.5708).



Entry 5:
Below is a relaxed BiTe3W crystal, with properties calculated at the GGA-PBE level.

As for the offset from the most stable computed form: 0 meV/atom. The value obtained for the energy relative to the elements, uncorrected is 2.92 eV per formula unit.

The structure belongs to space group Pm-3m (No. 221); the cell edges are 5.317, 5.317 and 5.317 Å and the angles 90.00°, 90.00° and 90.00°. The distinct sites, in fractional coordinates, are Bi at (0.000, 0.000, 0.000), Te at (0.000, 0.500, 0.500) and W at (0.500, 0.500, 0.500).



Entry 6:
Below is a relaxed VTeWN2 crystal, with properties calculated at the GGA-PBE level.

As for the offset from the most stable computed form: 0 meV/atom. The value obtained for the energy relative to the elements, uncorrected is 3.78 eV per formula unit.

The structure belongs to space group P4/mmm (No. 123); the cell edges are 3.929, 3.929 and 5.698 Å and the angles 90.00°, 90.00° and 90.00°. The distinct sites, in fractional coordinates, are V at (0.000, 0.000, 0.000), Te at (0.500, 0.500, 0.000), W at (0.500, 0.500, 0.500) and N at (0.000, 0.500, 0.500).



Entry 7:
Below is a relaxed TiZnCuPd crystal, with properties calculated at the GGA-PBE level.

The calculation puts the formation energy at -346 meV per atom.

The structure belongs to space group F-43m (No. 216); the cell edges are 6.141, 6.141 and 6.141 Å and the angles 90.00°, 90.00° and 90.00°. The distinct sites, in fractional coordinates, are Ti at (0.000, 0.000, 0.000), Zn at (0.000, 0.000, 0.500), Cu at (0.250, 0.250, 0.750) and Pd at (0.250, 0.250, 0.250).



Entry 8:
Below is a relaxed LaPmTlHg crystal, with properties calculated at the GGA-PBE level.

The calculation puts the formation energy at -443 meV per atom.

The structure belongs to space group F-43m (No. 216); the cell edges are 7.809, 7.809 and 7.809 Å and the angles 90.00°, 90.00° and 90.00°. The distinct sites, in fractional coordinates, are La at (0.000, 0.000, 0.000), Pm at (0.000, 0.000, 0.500), Tl at (0.250, 0.250, 0.250) and Hg at (0.250, 0.250, 0.750).



Entry 9:
Below is a relaxed BeZn4Cl crystal, with properties calculated at the GGA-PBE level.

The value obtained for the energy relative to the elements, uncorrected is 2.13 eV per formula unit.

The structure belongs to space group F-43m (No. 216); the cell edges are 7.380, 7.380 and 7.380 Å and the angles 90.00°, 90.00° and 90.00°. The distinct sites, in fractional coordinates, are Be at (0.000, 0.000, 0.000), Zn at (0.127, 0.127, 0.373) and Cl at (0.250, 0.250, 0.750).



Entry 10:
Below is a relaxed Ca3Ce2HfP6 crystal, with properties calculated at the GGA-PBE level.

The calculation puts the formation energy at -1288 meV per atom.

The structure belongs to space group C2/m (No. 12); the cell edges are 6.994, 12.117 and 7.032 Å and the angles 90.00°, 109.45° and 90.00°. The distinct sites, in fractional coordinates, are Ca at (0.000, 0.000, 0.000), Ca at (0.000, 0.331, 0.000), Ce at (0.000, 0.166, 0.500), Hf at (0.000, 0.500, 0.500), P at (0.235, 0.340, 0.728) and P at (0.242, 0.500, 0.272).